VASP calculation (PBE) on HfNbFe after structural relaxation.

Structure (POSCAR):
```
HfNbFe
1.0
6.2925 0.0000 0.0000
3.1462 7.0635 -0.5440
3.1462 1.8392 6.8416
Hf Fe Nb
6 6 6
direct
0.7364 0.5103 0.0103
0.7359 0.0105 0.5105
0.2570 0.4897 0.9897
0.7768 0.2500 0.7500
0.2568 0.9895 0.4895
0.7768 0.7500 0.2500
0.2572 0.3821 0.3825
0.2572 0.8825 0.8821
0.0218 0.6179 0.6175
0.4921 0.0000 0.0000
0.0218 0.1175 0.1179
0.4921 0.5000 0.5000
0.2569 0.7499 0.2499
0.9238 0.3334 0.3333
0.2566 0.2501 0.7501
0.5905 0.6666 0.6667
0.9238 0.8333 0.8334
0.5905 0.1667 0.1666
```

Summary:
Polymorph energy (0 for the lowest one) ... 0.222 eV per atom
Density ... 10.504 g/cm3
SG ... No. 189
Calculated formation energy ... 0.112 eV per atom